VASP calculation (PBE) on an optimized crystal structure of Mg6ScPd12.

Values from the calculation:
Uncorrected energy (eV/atom): -4.504
Magnetization (μB/cell): 0.0

Cell: 11.0363 11.0363 9.3749 Å, 90.00 90.00 120.00°
Space group R-3m (No. 166, hexagonal axes)
Symmetry-distinct sites (fractional):
Mg: 0.0938 0.1875 0.2354
Sc: 0.0000 0.0000 0.5000
Pd: 0.0000 0.2528 0.5000
Pd: 0.0635 0.5318 0.6224